Entry 1:
A relaxed Er2Pd7Pb2 crystal, computed with GGA-PBE.

POSCAR file:
```
Er2Pd7Pb2
1.0
4.549 -4.934 0.000
4.549 4.934 0.000
0.000 0.000 5.571
Er Pd Pb
2 7 2
Cartesian
1.934 0.000 0.000
7.164 0.000 0.000
0.000 0.000 2.786
2.274 2.467 1.346
2.274 2.467 4.225
2.274 -2.467 1.346
2.274 -2.467 4.225
4.549 0.000 1.324
4.549 0.000 4.247
4.549 2.288 2.786
4.549 -2.288 2.786
```

Values from the calculation:
**Energy relative to the elements**: -238 meV/atom
**Electronic total energy**: -55.51 eV per cell
**Total moment**: 0.0 μB/f.u.
**Calculated volume**: 22.7 Å³ per atom



Entry 2:
A relaxed GaCoP2 crystal, computed with GGA-PBE.

POSCAR file:
```
GaCoP2
1.0
2.663 0.000 0.000
-1.331 2.306 0.000
0.000 0.000 28.918
Ga Co P
3 3 6
Cartesian
0.000 0.000 0.000
0.000 1.537 19.279
1.331 0.769 9.639
0.000 0.000 14.459
0.000 1.537 4.820
1.331 0.769 24.099
0.000 0.000 12.297
0.000 0.000 16.621
0.000 1.537 2.658
0.000 1.537 6.982
1.331 0.769 21.936
1.331 0.769 26.261
```

Values from the calculation:
**Energy relative to the elements**: 409 meV/atom
**Electronic total energy**: -57.94 eV per cell
**Total moment**: 0.0 μB/f.u.
**Calculated volume**: 14.8 Å³ per atom



Entry 3:
A relaxed Th4Bi2SbOs crystal, computed with GGA-PBE.

POSCAR file:
```
Th4Bi2SbOs
1.0
7.836 0.000 0.000
0.000 4.364 0.000
-2.493 0.000 7.492
Th Bi Sb Os
4 2 1 1
Cartesian
1.125 0.000 1.536
-0.095 2.182 5.800
5.437 2.182 1.692
4.218 0.000 5.956
-1.247 0.000 3.746
2.671 2.182 3.746
3.918 0.000 0.000
0.000 2.182 0.000
```

Values from the calculation:
**Formation energy without anion corrections**: -466 kJ/mol of formula units
**Electronic total energy**: -57.62 eV per cell
**Total moment**: 0.0 μB/f.u.
**Calculated volume**: 32.0 Å³ per atom



Entry 4:
A relaxed LiCuPb crystal, computed with GGA-PBE.

POSCAR file:
```
LiCuPb
1.0
4.623 0.000 0.000
-2.312 4.004 0.000
0.000 0.000 3.172
Li Cu Pb
1 1 1
Cartesian
0.000 0.000 0.000
0.000 2.669 1.590
2.312 1.335 1.584
```

Values from the calculation:
**Energy relative to the elements**: -34 meV/atom
**Electronic total energy**: -9.82 eV per cell
**Total moment**: 0.0 μB/f.u.
**Calculated volume**: 19.6 Å³ per atom



Entry 5:
A relaxed Hf5NbGa5 crystal, computed with GGA-PBE.

POSCAR file:
```
Hf5NbGa5
1.0
4.844 0.000 0.000
0.000 6.138 0.000
-2.076 0.000 7.278
Hf Nb Ga
5 1 5
Cartesian
0.000 0.000 0.000
0.483 1.485 5.169
0.483 4.654 5.169
2.284 1.485 2.109
2.284 4.654 2.109
0.000 3.069 0.000
-0.102 0.000 2.715
-0.083 3.069 2.727
2.422 3.069 0.000
2.850 3.069 4.550
2.870 0.000 4.563
```

Values from the calculation:
**Energy relative to the elements**: -138 meV/atom
**Electronic total energy**: -76.49 eV per cell
**Total moment**: 0.0 μB/f.u.
**Calculated volume**: 19.7 Å³ per atom



Entry 6:
A relaxed PaB4Ir crystal, computed with GGA-PBE.

POSCAR file:
```
PaB4Ir
1.0
3.719 -4.745 0.000
3.719 4.745 0.000
0.000 0.000 3.586
Pa B Ir
2 8 2
Cartesian
3.719 2.851 0.000
3.719 -2.851 0.000
2.048 1.512 1.793
0.878 0.000 1.793
3.719 0.878 1.793
2.048 -1.512 1.793
5.391 1.512 1.793
3.719 -0.878 1.793
6.560 0.000 1.793
5.391 -1.512 1.793
2.337 0.000 0.000
5.101 0.000 0.000
```

Values from the calculation:
**Energy relative to the elements**: -563 meV/atom
**Electronic total energy**: -96.90 eV per cell
**Total moment**: 0.0 μB/f.u.
**Relative energy among the computed polymorphs**: 0 meV per atom
**Calculated volume**: 10.5 Å³ per atom



Question: Look up the calculated volume of the fourth one.
Answer: 19.6 Å³ per atom



Question: Look up the total moment of the third one.
Answer: 0.0 μB/f.u.



Question: Number 3 is which compound?
Answer: Th4Bi2SbOs



Question: What is the total moment in the fourth record?
Answer: 0.0 μB/f.u.